1.
A relaxed Pm2URu3 crystal, computed with PBE-GGA.

Values from the calculation:
* symmetry: No. 8
* energy above the lowest structure with this stoichiometry: 35.6 meV per atom
* total DFT energy (no corrections): -8.3052 eV/atom

a = 5.5711 Å, b = 5.5711 Å, c = 7.3387 Å
α = 125.55°, β = 125.55°, γ = 47.16°
Fractional positions:
Pm 0.0000 0.0000 0.0000
Pm 0.1415 0.1415 0.6769
U 0.7127 0.7127 0.3820
Ru 0.3988 0.3988 0.6206
Ru 0.4507 0.4507 0.2889
Ru 0.7437 0.7437 0.0901

---

2.
A relaxed Ac2LaZn6 crystal, computed with PBE-GGA.

Values from the calculation:
* symmetry: No. 191
* total DFT energy (no corrections): -2.6179 eV/atom

a = 8.1471 Å, b = 8.1471 Å, c = 3.8403 Å
α = 90.00°, β = 90.00°, γ = 120.00°
Fractional positions:
Ac 0.3333 0.6667 0.0000
Ac 0.6667 0.3333 0.0000
La 0.0000 0.0000 0.0000
Zn 0.0000 0.3284 0.5000
Zn 0.0000 0.6716 0.5000
Zn 0.3284 0.0000 0.5000
Zn 0.3284 0.3284 0.5000
Zn 0.6716 0.0000 0.5000
Zn 0.6716 0.6716 0.5000

---

3.
A relaxed Al2Hg2Cl7 crystal, computed with PBE-GGA.

Values from the calculation:
* symmetry: No. 15
* E_form (uncorrected): -1152 meV per atom
* total DFT energy (no corrections): -3.0622 eV/atom

a = 8.2200 Å, b = 8.2200 Å, c = 14.3053 Å
α = 90.77°, β = 90.77°, γ = 103.63°
Fractional positions:
Al 0.0087 0.6132 0.7418
Al 0.3868 0.9913 0.7582
Al 0.6132 0.0087 0.2418
Al 0.9913 0.3868 0.2582
Hg 0.3297 0.5085 0.9947
Hg 0.4915 0.6703 0.5053
Hg 0.5085 0.3297 0.4947
Hg 0.6703 0.4915 0.0053
Cl 0.0044 0.5334 0.8862
Cl 0.1014 0.8986 0.7500
Cl 0.1759 0.5145 0.6594
Cl 0.2374 0.4191 0.3131
Cl 0.4191 0.2374 0.8131
Cl 0.4666 0.9956 0.6138
Cl 0.4855 0.8241 0.8406
Cl 0.5145 0.1759 0.1594
Cl 0.5334 0.0044 0.3862
Cl 0.5809 0.7626 0.1869
Cl 0.7626 0.5809 0.6869
Cl 0.8241 0.4855 0.3406
Cl 0.8986 0.1014 0.2500
Cl 0.9956 0.4666 0.1138

---

4.
A relaxed Li4HoZn12 crystal, computed with PBE-GGA.

Values from the calculation:
* symmetry: No. 204
* total DFT energy (no corrections): -1.4379 eV/atom

a = 7.4402 Å, b = 7.4402 Å, c = 7.4402 Å
α = 109.47°, β = 109.47°, γ = 109.47°
Fractional positions:
Li 0.0000 0.0000 0.5000
Li 0.0000 0.5000 0.0000
Li 0.5000 0.0000 0.0000
Li 0.5000 0.5000 0.5000
Ho 0.0000 0.0000 0.0000
Zn 0.1492 0.5023 0.3531
Zn 0.1492 0.7961 0.6469
Zn 0.2039 0.3531 0.8508
Zn 0.3531 0.1492 0.5023
Zn 0.3531 0.8508 0.2039
Zn 0.4977 0.6469 0.8508
Zn 0.5023 0.3531 0.1492
Zn 0.6469 0.1492 0.7961
Zn 0.6469 0.8508 0.4977
Zn 0.7961 0.6469 0.1492
Zn 0.8508 0.2039 0.3531
Zn 0.8508 0.4977 0.6469

---

5.
A relaxed La6GaRu2Cl3 crystal, computed with PBE-GGA.

Values from the calculation:
* symmetry: No. 12
* E_form (uncorrected): -1048 meV per atom
* total DFT energy (no corrections): -5.7719 eV/atom

a = 10.0410 Å, b = 10.0410 Å, c = 9.0943 Å
α = 106.82°, β = 106.82°, γ = 23.77°
Fractional positions:
La 0.0232 0.0232 0.2584
La 0.3191 0.3191 0.4285
La 0.3383 0.3383 0.8803
La 0.6617 0.6617 0.1197
La 0.6809 0.6809 0.5715
La 0.9768 0.9768 0.7416
Ga 0.5000 0.5000 0.0000
Ru 0.1650 0.1650 0.3395
Ru 0.8350 0.8350 0.6605
Cl 0.1699 0.1699 0.8431
Cl 0.5000 0.5000 0.5000
Cl 0.8301 0.8301 0.1569

---

6.
A relaxed Tb2SbPd6 crystal, computed with PBE-GGA.

Values from the calculation:
* symmetry: No. 164
* E_form (uncorrected): -754 meV per atom
* total DFT energy (no corrections): -5.7029 eV/atom

a = 5.7895 Å, b = 5.7895 Å, c = 5.9652 Å
α = 90.00°, β = 90.00°, γ = 120.00°
Fractional positions:
Tb 0.3333 0.6667 0.1799
Tb 0.6667 0.3333 0.8201
Sb 0.0000 0.0000 0.0000
Pd 0.1768 0.3536 0.6809
Pd 0.1768 0.8232 0.6809
Pd 0.3536 0.1768 0.3191
Pd 0.6464 0.8232 0.6809
Pd 0.8232 0.1768 0.3191
Pd 0.8232 0.6464 0.3191